No. 1
Density functional theory data (PBE) for an optimized crystal structure of Pr3ErNi.

Unit cell a=5.4998 b=5.4998 c=5.4998 alpha=90.00 beta=90.00 gamma=90.00
Fractional coordinates of all 5 atoms:
Pr (0.0000, 0.0000, 0.5000)
Pr (0.0000, 0.5000, 0.0000)
Pr (0.5000, 0.0000, 0.0000)
Er (0.5000, 0.5000, 0.5000)
Ni (0.0000, 0.0000, 0.0000)

The calculation puts the energy relative to the elements at 0.08 eV/atom. Its symmetry is Pm-3m, No. 221.

No. 2
Density functional theory data (PBE) for an optimized crystal structure of Mn2ZnHg.

Unit cell a=4.5123 b=4.5123 c=4.5123 alpha=60.00 beta=60.00 gamma=60.00
Fractional coordinates of all 4 atoms:
Mn (0.2500, 0.2500, 0.2500)
Mn (0.7500, 0.7500, 0.7500)
Zn (0.0000, 0.0000, 0.0000)
Hg (0.5000, 0.5000, 0.5000)

The calculation puts the energy relative to the elements at 0.27 eV/atom. Its symmetry is Fm-3m, No. 225. For the energy above the most stable polymorph in this dataset, the calculation gives 0.081 eV per atom.

No. 3
Density functional theory data (PBE) for an optimized crystal structure of Sc2Be.

Unit cell a=13.0173 b=13.0173 c=13.0173 alpha=161.39 beta=161.39 gamma=26.44
Fractional coordinates of all 12 atoms:
Sc (0.0370, 0.7870, 0.2500)
Sc (0.1214, 0.3714, 0.7500)
Sc (0.2130, 0.9630, 0.2500)
Sc (0.3714, 0.1214, 0.2500)
Sc (0.6286, 0.8786, 0.7500)
Sc (0.7870, 0.0370, 0.7500)
Sc (0.8786, 0.6286, 0.2500)
Sc (0.9630, 0.2130, 0.7500)
Be (0.2903, 0.5403, 0.7500)
Be (0.4597, 0.7097, 0.7500)
Be (0.5403, 0.2903, 0.2500)
Be (0.7097, 0.4597, 0.2500)

The calculation puts the energy relative to the elements at 0.18 eV/atom. Its symmetry is I4_1/amd, No. 141. For the energy above the most stable polymorph in this dataset, the calculation gives 0.214 eV per atom.

No. 4
Density functional theory data (PBE) for an optimized crystal structure of AgH6Pd2Pt2.

Unit cell a=4.8894 b=4.9951 c=5.4285 alpha=66.89 beta=64.79 gamma=70.89
Fractional coordinates of all 11 atoms:
Ag (0.0000, 0.0000, 0.0000)
H (0.0384, 0.7375, 0.5457)
H (0.4244, 0.3162, 0.4948)
H (0.4954, 0.2859, 0.9578)
H (0.5046, 0.7141, 0.0422)
H (0.5756, 0.6838, 0.5052)
H (0.9616, 0.2625, 0.4543)
Pd (0.3268, 0.0523, 0.2985)
Pd (0.6732, 0.9477, 0.7015)
Pt (0.2514, 0.5168, 0.7665)
Pt (0.7486, 0.4832, 0.2335)

Its symmetry is P-1, No. 2. The electronic total energy comes out at -4.116 eV/atom.

No. 5
Density functional theory data (PBE) for an optimized crystal structure of TmPa2BeN5.

Unit cell a=6.7510 b=6.7510 c=10.1065 alpha=90.00 beta=90.00 gamma=150.89
Fractional coordinates of all 18 atoms:
Tm (0.1475, 0.8525, 0.5000)
Tm (0.8525, 0.1475, 0.0000)
Pa (0.1020, 0.8980, 0.8254)
Pa (0.1684, 0.8316, 0.1903)
Pa (0.8316, 0.1684, 0.6903)
Pa (0.8980, 0.1020, 0.3254)
Be (0.4678, 0.5322, 0.5503)
Be (0.5322, 0.4678, 0.0503)
N (0.0050, 0.9950, 0.1208)
N (0.2805, 0.7195, 0.8354)
N (0.3323, 0.6677, 0.5405)
N (0.3375, 0.6625, 0.1715)
N (0.4912, 0.5088, 0.8873)
N (0.5088, 0.4912, 0.3873)
N (0.6625, 0.3375, 0.6715)
N (0.6677, 0.3323, 0.0405)
N (0.7195, 0.2805, 0.3354)
N (0.9950, 0.0050, 0.6208)

Its symmetry is Cmc2_1, No. 36. The electronic total energy comes out at -9.043 eV/atom.

No. 6
Density functional theory data (PBE) for an optimized crystal structure of Ti2Cl2F.

Unit cell a=6.0950 b=6.0950 c=4.4189 alpha=90.00 beta=90.00 gamma=90.00
Fractional coordinates of all 10 atoms:
Ti (0.1904, 0.3096, 0.0000)
Ti (0.3096, 0.8096, 0.0000)
Ti (0.6904, 0.1904, 0.0000)
Ti (0.8096, 0.6904, 0.0000)
Cl (0.1823, 0.6823, 0.5000)
Cl (0.3177, 0.1823, 0.5000)
Cl (0.6823, 0.8177, 0.5000)
Cl (0.8177, 0.3177, 0.5000)
F (0.0000, 0.0000, 0.0000)
F (0.5000, 0.5000, 0.0000)

Its symmetry is P4/mbm, No. 127. For the energy above the most stable polymorph in this dataset, the calculation gives 0.000 eV per atom.